[1]
This record from Alexandria via LeMat-Bulk describes ZrSiNi2 after structural relaxation. The functional is PBE-GGA.

Lattice parameters (Å, degrees): 8.301 8.301 8.301 20.01 20.01 20.01
Element x y z (fractional)
Zr 0.000 0.000 0.000
Si 0.235 0.235 0.235
Ni 0.502 0.502 0.502
Ni 0.757 0.757 0.757

Calculated values
Total magnetization (μB/atom): 0.000
ρ (g/cm3): 6.7
Volume (A^3/atom): 14.6
DFT total energy (eV for the cell shown): -25.577

[2]
This record from Alexandria via LeMat-Bulk describes ZrSi2Ni after structural relaxation. The functional is PBE-GGA.

Lattice parameters (Å, degrees): 8.467 8.467 8.467 19.76 19.76 19.76
Element x y z (fractional)
Zr 0.000 0.000 0.000
Si 0.237 0.237 0.237
Si 0.763 0.763 0.763
Ni 0.500 0.500 0.500

Calculated values
Total magnetization (μB/atom): 0.000
ρ (g/cm3): 5.6
Volume (A^3/atom): 15.2
DFT total energy (eV for the cell shown): -25.971

[3]
This record from Alexandria via LeMat-Bulk describes Zr2SiNi3 after structural relaxation. The functional is PBE-GGA.

Lattice parameters (Å, degrees): 5.040 5.040 7.825 90.00 90.00 120.00
Element x y z (fractional)
Zr 0.333 0.667 0.053
Zr 0.333 0.667 0.447
Zr 0.667 0.333 0.553
Zr 0.667 0.333 0.947
Si 0.000 0.000 0.000
Si 0.000 0.000 0.500
Ni 0.167 0.335 0.750
Ni 0.167 0.833 0.750
Ni 0.335 0.167 0.250
Ni 0.665 0.833 0.750
Ni 0.833 0.167 0.250
Ni 0.833 0.665 0.250

Calculated values
Total magnetization (μB/atom): 0.000
ρ (g/cm3): 7.5
Volume (A^3/atom): 14.3
DFT total energy (eV for the cell shown): -87.296

[4]
This record from Alexandria via LeMat-Bulk describes ZrSiNi after structural relaxation. The functional is PBE-GGA.

Lattice parameters (Å, degrees): 4.047 4.047 6.544 90.00 90.00 120.00
Element x y z (fractional)
Zr 0.000 0.000 0.000
Zr 0.000 0.000 0.500
Si 0.333 0.667 0.266
Si 0.667 0.333 0.766
Ni 0.333 0.667 0.683
Ni 0.667 0.333 0.183

Calculated values
Total magnetization (μB/atom): 0.000
ρ (g/cm3): 6.4
Volume (A^3/atom): 15.5
DFT total energy (eV for the cell shown): -44.618

[5]
This record from Alexandria via LeMat-Bulk describes Zr3SiNi after structural relaxation. The functional is PBE-GGA.

Lattice parameters (Å, degrees): 4.794 4.794 4.794 90.00 90.00 90.00
Element x y z (fractional)
Zr 0.000 0.000 0.500
Zr 0.000 0.500 0.000
Zr 0.500 0.000 0.000
Si 0.500 0.500 0.500
Ni 0.000 0.000 0.000

Calculated values
Relative energy among the computed polymorphs (meV per atom): 0.0
Total magnetization (μB/atom): 0.000
ρ (g/cm3): 5.4
Volume (A^3/atom): 22.0

[6]
This record from Alexandria via LeMat-Bulk describes Zr2Si3Ni5 after structural relaxation. The functional is PBE-GGA.

Lattice parameters (Å, degrees): 11.357 11.357 6.253 90.00 90.00 160.43
Element x y z (fractional)
Zr 0.023 0.977 0.500
Zr 0.324 0.676 0.528
Zr 0.676 0.324 0.028
Zr 0.977 0.023 0.000
Si 0.122 0.878 0.742
Si 0.274 0.726 0.071
Si 0.452 0.548 0.709
Si 0.548 0.452 0.209
Si 0.726 0.274 0.571
Si 0.878 0.122 0.242
Ni 0.096 0.904 0.116
Ni 0.198 0.802 0.359
Ni 0.224 0.776 0.764
Ni 0.377 0.623 0.991
Ni 0.441 0.559 0.334
Ni 0.559 0.441 0.834
Ni 0.623 0.377 0.491
Ni 0.776 0.224 0.264
Ni 0.802 0.198 0.859
Ni 0.904 0.096 0.616

Calculated values
Total magnetization (μB/atom): 0.000
ρ (g/cm3): 6.9
Volume (A^3/atom): 13.5
DFT total energy (eV for the cell shown): -138.308